Entry 1:
# CsZr2Se4 (PBE, relaxed)
# Formation energy without anion corrections   -1.2486 eV per atom
# N(E_F)   9.5 states/eV/cell
data_CsZr2Se4
_chemical_formula_sum 'Cs4 Zr8 Se16'
_symmetry_space_group_name_H-M 'C m c m'
_symmetry_Int_Tables_number 63
_symmetry_space_group_name_Hall '-C 2c 2'
_cell_length_a 4.043
_cell_length_b 13.577
_cell_length_c 13.993
_cell_angle_alpha 90.00
_cell_angle_beta 90.00
_cell_angle_gamma 90.00
loop_
_atom_site_label
_atom_site_fract_x
_atom_site_fract_y
_atom_site_fract_z
_atom_site_occupancy
Cs1 0.000 0.108 0.250 1
Zr1 0.000 0.371 0.063 1
Se1 0.000 0.000 0.000 1
Se2 0.000 0.261 0.600 1
Se3 0.000 0.403 0.250 1


Entry 2:
# CsZr3Se6 (PBE, relaxed)
# Formation energy without anion corrections   -1.3106 eV per atom
# N(E_F)   6.2 states/eV/cell
data_CsZr3Se6
_chemical_formula_sum 'Cs2 Zr6 Se12'
_symmetry_space_group_name_H-M 'P 1 21/m 1'
_symmetry_Int_Tables_number 11
_symmetry_space_group_name_Hall '-P 2yb'
_cell_length_a 12.245
_cell_length_b 3.825
_cell_length_c 12.340
_cell_angle_alpha 90.00
_cell_angle_beta 106.76
_cell_angle_gamma 90.00
loop_
_atom_site_label
_atom_site_fract_x
_atom_site_fract_y
_atom_site_fract_z
_atom_site_occupancy
Cs1 0.105 0.250 0.380 1
Zr1 0.151 0.250 0.036 1
Zr2 0.308 0.750 0.736 1
Zr3 0.466 0.750 0.353 1
Se1 0.049 0.750 0.132 1
Se2 0.153 0.250 0.667 1
Se3 0.247 0.750 0.944 1
Se4 0.319 0.250 0.246 1
Se5 0.373 0.750 0.539 1
Se6 0.461 0.250 0.833 1


Entry 3:
# Cs2ZrSe4 (PBE, relaxed)
# Formation energy without anion corrections   -0.9872 eV per atom
# N(E_F)   1.7 states/eV/cell
data_Cs2ZrSe4
_chemical_formula_sum 'Cs2 Zr1 Se4'
_symmetry_space_group_name_H-M 'P 1 2/m 1'
_symmetry_Int_Tables_number 10
_symmetry_space_group_name_Hall '-P 2y'
_cell_length_a 7.635
_cell_length_b 4.044
_cell_length_c 8.731
_cell_angle_alpha 90.00
_cell_angle_beta 109.34
_cell_angle_gamma 90.00
loop_
_atom_site_label
_atom_site_fract_x
_atom_site_fract_y
_atom_site_fract_z
_atom_site_occupancy
Cs1 0.195 0.000 0.334 1
Zr1 0.500 0.500 0.000 1
Se1 0.119 0.500 0.930 1
Se2 0.412 0.000 0.777 1


Entry 4:
# CsZr4Se8 (PBE, relaxed)
# Formation energy without anion corrections   -1.4191 eV per atom
# N(E_F)   10.0 states/eV/cell
data_CsZr4Se8
_chemical_formula_sum 'Cs3 Zr12 Se24'
_symmetry_space_group_name_H-M 'R -3 m'
_symmetry_Int_Tables_number 166
_symmetry_space_group_name_Hall '-R 3 2"'
_cell_length_a 7.5830
_cell_length_b 7.5830
_cell_length_c 27.2718
_cell_angle_alpha 90.00
_cell_angle_beta 90.00
_cell_angle_gamma 120.00
loop_
_atom_site_label
_atom_site_fract_x
_atom_site_fract_y
_atom_site_fract_z
_atom_site_occupancy
Cs1 0.0000 0.0000 0.0000 1
Zr1 0.0000 0.0000 0.5000 1
Zr2 0.0000 0.5000 0.5000 1
Se1 0.0000 0.0000 0.2257 1
Se2 0.0018 0.5009 0.2259 1


Entry 5:
# Cs3ZrSe (PBE, relaxed)
# Formation energy without anion corrections   0.3717 eV per atom
# N(E_F)   9.4 states/eV/cell
data_Cs3ZrSe
_chemical_formula_sum 'Cs3 Zr1 Se1'
_symmetry_space_group_name_H-M 'P m -3 m'
_symmetry_Int_Tables_number 221
_symmetry_space_group_name_Hall '-P 4 2 3'
_cell_length_a 6.983
_cell_length_b 6.983
_cell_length_c 6.983
_cell_angle_alpha 90.00
_cell_angle_beta 90.00
_cell_angle_gamma 90.00
loop_
_atom_site_label
_atom_site_fract_x
_atom_site_fract_y
_atom_site_fract_z
_atom_site_occupancy
Cs1 0.000 0.000 0.500 1
Zr1 0.500 0.500 0.500 1
Se1 0.000 0.000 0.000 1


Entry 6:
# Cs2Zr2Se5 (PBE, relaxed)
# Formation energy without anion corrections   -1.2419 eV per atom
# N(E_F)   9.5 states/eV/cell
data_Cs2Zr2Se5
_chemical_formula_sum 'Cs8 Zr8 Se20'
_symmetry_space_group_name_H-M 'C m c e'
_symmetry_Int_Tables_number 64
_symmetry_space_group_name_Hall '-C 2ac 2'
_cell_length_a 17.421
_cell_length_b 7.769
_cell_length_c 7.779
_cell_angle_alpha 90.00
_cell_angle_beta 90.00
_cell_angle_gamma 90.00
loop_
_atom_site_label
_atom_site_fract_x
_atom_site_fract_y
_atom_site_fract_z
_atom_site_occupancy
Cs1 0.204 0.000 0.000 1
Zr1 0.000 0.155 0.345 1
Se1 0.000 0.000 0.000 1
Se2 0.097 0.142 0.642 1


Entry 7:
# CsZr5Se8 (PBE, relaxed)
# Formation energy without anion corrections   -1.3875 eV per atom
# N(E_F)   13.3 states/eV/cell
data_CsZr5Se8
_chemical_formula_sum 'Cs2 Zr10 Se16'
_symmetry_space_group_name_H-M 'C 1 2/m 1'
_symmetry_Int_Tables_number 12
_symmetry_space_group_name_Hall '-C 2y'
_cell_length_a 19.714
_cell_length_b 3.789
_cell_length_c 9.901
_cell_angle_alpha 90.00
_cell_angle_beta 104.39
_cell_angle_gamma 90.00
loop_
_atom_site_label
_atom_site_fract_x
_atom_site_fract_y
_atom_site_fract_z
_atom_site_occupancy
Cs1 0.000 0.000 0.000 1
Zr1 0.000 0.500 0.500 1
Zr2 0.165 0.000 0.501 1
Zr3 0.208 0.000 0.851 1
Se1 0.075 0.000 0.672 1
Se2 0.090 0.500 0.330 1
Se3 0.159 0.500 0.998 1
Se4 0.246 0.500 0.676 1


Entry 8:
# Cs5ZrSe5 (PBE, relaxed)
# Formation energy without anion corrections   -1.0271 eV per atom
# N(E_F)   26.0 states/eV/cell
data_Cs5ZrSe5
_chemical_formula_sum 'Cs10 Zr2 Se10'
_symmetry_space_group_name_H-M 'C 1 2/m 1'
_symmetry_Int_Tables_number 12
_symmetry_space_group_name_Hall '-C 2y'
_cell_length_a 16.230
_cell_length_b 6.618
_cell_length_c 9.484
_cell_angle_alpha 90.00
_cell_angle_beta 110.67
_cell_angle_gamma 90.00
loop_
_atom_site_label
_atom_site_fract_x
_atom_site_fract_y
_atom_site_fract_z
_atom_site_occupancy
Cs1 0.000 0.000 0.000 1
Cs2 0.163 0.500 0.325 1
Cs3 0.199 0.500 0.796 1
Zr1 0.000 0.000 0.500 1
Se1 0.000 0.500 0.500 1
Se2 0.126 0.000 0.382 1
Se3 0.127 0.000 0.775 1


Entry 9:
# Cs3ZrSe4 (PBE, relaxed)
# Formation energy without anion corrections   -0.9326 eV per atom
# N(E_F)   9.9 states/eV/cell
data_Cs3ZrSe4
_chemical_formula_sum 'Cs6 Zr2 Se8'
_symmetry_space_group_name_H-M 'I 4/m m m'
_symmetry_Int_Tables_number 139
_symmetry_space_group_name_Hall '-I 4 2'
_cell_length_a 8.667
_cell_length_b 8.667
_cell_length_c 9.540
_cell_angle_alpha 90.00
_cell_angle_beta 90.00
_cell_angle_gamma 90.00
loop_
_atom_site_label
_atom_site_fract_x
_atom_site_fract_y
_atom_site_fract_z
_atom_site_occupancy
Cs1 0.000 0.000 0.000 1
Cs2 0.000 0.500 0.250 1
Zr1 0.000 0.000 0.500 1
Se1 0.211 0.211 0.500 1


Entry 10:
# CsZrSe3 (PBE, relaxed)
# Formation energy without anion corrections   1.2428 eV per atom
# N(E_F)   15.1 states/eV/cell
data_CsZrSe3
_chemical_formula_sum 'Cs1 Zr1 Se3'
_symmetry_space_group_name_H-M 'P m -3 m'
_symmetry_Int_Tables_number 221
_symmetry_space_group_name_Hall '-P 4 2 3'
_cell_length_a 5.615
_cell_length_b 5.615
_cell_length_c 5.615
_cell_angle_alpha 90.00
_cell_angle_beta 90.00
_cell_angle_gamma 90.00
loop_
_atom_site_label
_atom_site_fract_x
_atom_site_fract_y
_atom_site_fract_z
_atom_site_occupancy
Cs1 0.000 0.000 0.000 1
Zr1 0.500 0.500 0.500 1
Se1 0.000 0.000 0.500 1


Entry 11:
# CsZr2Se (PBE, relaxed)
# Formation energy without anion corrections   0.2860 eV per atom
# N(E_F)   16.7 states/eV/cell
data_CsZr2Se
_chemical_formula_sum 'Cs4 Zr8 Se4'
_symmetry_space_group_name_H-M 'I 41/a m d'
_symmetry_Int_Tables_number 141
_cell_length_a 5.334
_cell_length_b 5.334
_cell_length_c 19.865
_cell_angle_alpha 90.00
_cell_angle_beta 90.00
_cell_angle_gamma 90.00
loop_
_symmetry_equiv_pos_as_xyz
'x,y,z'
'-x,-y,-z'
'-y+1/4,x+3/4,z+1/4'
'y+1/4,-x+3/4,-z+1/4'
'-x+1/2,-y,z+1/2'
'x+1/2,y,-z+1/2'
'y+1/4,-x+1/4,z+3/4'
'-y+1/4,x+1/4,-z+3/4'
'x,-y,-z'
'-x,y,z'
'-y+1/4,-x+1/4,-z+3/4'
'y+1/4,x+1/4,z+3/4'
'-x+1/2,y,-z+1/2'
'x+1/2,-y,z+1/2'
'y+1/4,x+3/4,-z+1/4'
'-y+1/4,-x+3/4,z+1/4'
'x+1/2,y+1/2,z+1/2'
'-x+1/2,-y+1/2,-z+1/2'
'-y+3/4,x+1/4,z+3/4'
'y+3/4,-x+1/4,-z+3/4'
'-x,-y+1/2,z'
'x,y+1/2,-z'
'y+3/4,-x+3/4,z+1/4'
'-y+3/4,x+3/4,-z+1/4'
'x+1/2,-y+1/2,-z+1/2'
'-x+1/2,y+1/2,z+1/2'
'-y+3/4,-x+3/4,-z+1/4'
'y+3/4,x+3/4,z+1/4'
'-x,y+1/2,-z'
'x,-y+1/2,z'
'y+3/4,x+1/4,-z+3/4'
'-y+3/4,-x+1/4,z+3/4'
loop_
_atom_site_label
_atom_site_fract_x
_atom_site_fract_y
_atom_site_fract_z
_atom_site_occupancy
Cs1 0.000 0.250 0.375 1
Zr1 0.000 0.000 0.000 1
Se1 0.000 0.250 0.875 1


Entry 12:
# Cs3ZrSe4 (PBE, relaxed)
# Formation energy without anion corrections   -1.1809 eV per atom
# N(E_F)   3.1 states/eV/cell
data_Cs3ZrSe4
_chemical_formula_sum 'Cs6 Zr2 Se8'
_symmetry_space_group_name_H-M 'I m m 2'
_symmetry_Int_Tables_number 44
_symmetry_space_group_name_Hall 'I 2 -2'
_cell_length_a 6.189
_cell_length_b 14.647
_cell_length_c 7.937
_cell_angle_alpha 90.00
_cell_angle_beta 90.00
_cell_angle_gamma 90.00
loop_
_atom_site_label
_atom_site_fract_x
_atom_site_fract_y
_atom_site_fract_z
_atom_site_occupancy
Cs1 0.000 0.000 0.000 1
Cs2 0.000 0.285 0.774 1
Zr1 0.000 0.500 0.156 1
Se1 0.000 0.355 0.333 1
Se2 0.229 0.000 0.415 1


Question: Among the records above, which one has the lowest formation energy without anion corrections?
Answer: CsZr4Se8


Question: Among the records above, which one has the lowest N(E_F)?
Answer: Cs2ZrSe4